# 1
CaPm4Au4, relaxed, DFT PBE; formation energy from the elements = -5.4 eV/f.u.; space group = No. 86
1.0
6.003 0.000 0.000
0.000 9.493 0.000
0.000 0.000 9.493
Pm Au Ca
8 8 2
direct
0.912 0.593 0.820
0.088 0.180 0.593
0.088 0.820 0.407
0.588 0.907 0.680
0.588 0.093 0.320
0.412 0.320 0.907
0.912 0.407 0.180
0.412 0.680 0.093
0.409 0.622 0.784
0.909 0.716 0.122
0.591 0.216 0.622
0.909 0.284 0.878
0.091 0.878 0.716
0.591 0.784 0.378
0.409 0.378 0.216
0.091 0.122 0.284
0.000 0.000 0.000
0.500 0.500 0.500

=====

# 2
RbCu4S2Br, relaxed, DFT PBE; uncorrected formation energy = -0.3903 eV per atom; space group = No. 123
1.0
4.012 0.000 0.000
0.000 4.012 0.000
0.000 0.000 10.370
Cu S Rb Br
4 2 1 1
direct
0.500 0.000 0.799
0.000 0.500 0.799
0.500 0.000 0.201
0.000 0.500 0.201
0.500 0.500 0.705
0.500 0.500 0.295
0.000 0.000 0.500
0.000 0.000 0.000

=====

# 3
KMo2W, relaxed, DFT PBE; formation energy from the elements = 5.8 eV/f.u.; space group = No. 44
1.0
6.017 0.037 0.009
2.860 5.294 -0.009
-3.556 -4.135 2.542
Mo K W
2 1 1
direct
0.750 0.250 0.500
0.960 0.960 0.000
0.249 0.749 0.500
0.541 0.541 0.000

=====

# 4
ZrOsCl3, relaxed, DFT PBE; uncorrected formation energy = 0.6225 eV per atom; space group = No. 221
1.0
-1.157 -0.024 4.630
-4.440 -1.348 -1.117
1.313 -4.578 0.304
Cl Os Zr
3 1 1
direct
0.000 0.000 0.500
0.500 0.000 0.000
0.000 0.500 0.000
0.000 0.000 0.000
0.500 0.500 0.500

=====

# 5
Ti2CSe, relaxed, DFT PBE; uncorrected formation energy = -0.4998 eV per atom; space group = No. 122
1.0
-0.037 5.167 -1.077
-4.423 -0.618 -2.814
-4.964 3.112 2.168
Ti Se C
4 2 2
direct
0.546 0.125 0.250
0.375 0.454 0.750
0.204 0.625 0.250
0.875 0.796 0.750
0.000 0.000 0.000
0.750 0.250 0.500
0.500 0.500 0.000
0.250 0.750 0.500

=====

# 6
YTi3Cd, relaxed, DFT PBE; formation energy from the elements = 4.9 eV/f.u.; space group = No. 221
1.0
-0.845 4.697 -1.670
-2.021 -1.871 -4.240
-4.557 -0.042 2.190
Y Ti Cd
1 3 1
direct
0.500 0.500 0.500
0.000 0.500 0.000
0.500 0.000 0.000
0.000 0.000 0.500
0.000 0.000 0.000

=====

# 7
HfPaNbTc, relaxed, DFT PBE; formation energy from the elements = -0.7 eV/f.u.; space group = No. 216
1.0
4.809 0.000 0.000
2.404 4.164 0.000
2.404 1.388 3.926
Nb Hf Pa Tc
1 1 1 1
direct
0.750 0.750 0.750
0.500 0.500 0.500
0.000 0.000 0.000
0.250 0.250 0.250

=====

# 8
TmP2Pd7Pb2, relaxed, DFT PBE; formation energy from the elements = -6.2 eV/f.u.; space group = No. 12
1.0
0.065 3.849 -1.406
0.849 -1.377 -3.765
-12.896 0.016 -4.320
Pd Pb Tm P
7 2 1 2
direct
0.450 0.949 0.155
0.051 0.550 0.845
0.550 0.051 0.845
0.612 0.612 0.582
0.388 0.388 0.418
0.500 0.500 0.000
0.949 0.450 0.155
0.108 0.108 0.621
0.892 0.892 0.379
0.000 0.000 0.000
0.422 0.422 0.245
0.578 0.578 0.755

=====

# 9
ZnNi2, relaxed, DFT PBE; formation energy from the elements = -0.5 eV/f.u.; space group = No. 141
1.0
11.150 -0.004 0.000
9.998 4.936 0.000
-10.574 -2.466 2.536
Zn Ni
4 8
direct
0.169 0.669 0.500
0.919 0.919 0.000
0.081 0.081 0.000
0.331 0.831 0.500
0.500 0.000 0.500
0.667 0.167 0.500
0.250 0.250 0.000
0.750 0.750 0.000
0.000 0.500 0.500
0.417 0.417 0.000
0.583 0.583 0.000
0.833 0.333 0.500

=====

# 10
La5Tl2Sn2, relaxed, DFT PBE; formation energy from the elements = -5.2 eV/f.u.; space group = No. 64
1.0
-4.001 -5.419 -5.191
-0.689 -5.626 6.405
-9.330 0.639 -0.442
Tl La Sn
4 10 4
direct
0.288 0.500 0.424
0.212 0.000 0.576
0.788 0.000 0.424
0.712 0.500 0.576
0.953 0.327 0.729
0.318 0.673 0.729
0.182 0.173 0.271
0.818 0.827 0.729
0.000 0.000 0.000
0.500 0.500 0.000
0.682 0.327 0.271
0.047 0.673 0.271
0.453 0.173 0.729
0.547 0.827 0.271
0.877 0.627 0.000
0.377 0.873 0.000
0.623 0.127 0.000
0.123 0.373 0.000

=====

# 11
TbGdGa2, relaxed, DFT PBE; formation energy from the elements = -2.3 eV/f.u.; space group = No. 225
1.0
5.088 0.000 0.000
2.544 4.406 0.000
2.544 1.469 4.154
Ga Tb Gd
2 1 1
direct
0.250 0.250 0.250
0.750 0.750 0.750
0.000 0.000 0.000
0.500 0.500 0.500

=====

# 12
Ba3Ta2InO9, relaxed, DFT PBE; uncorrected formation energy = -2.6966 eV per atom; space group = No. 164
1.0
5.913 0.000 0.000
-2.957 5.121 0.000
0.000 0.000 7.225
O Ta Ba In
9 2 3 1
direct
0.500 0.500 0.000
0.654 0.827 0.323
0.173 0.827 0.323
0.346 0.173 0.677
0.500 0.000 0.000
0.173 0.346 0.323
0.827 0.654 0.677
0.000 0.500 0.000
0.827 0.173 0.677
0.333 0.667 0.163
0.667 0.333 0.837
0.667 0.333 0.338
0.000 0.000 0.000
0.333 0.667 0.662
0.000 0.000 0.500

=====

# 13
Si3GePb, relaxed, DFT PBE; uncorrected formation energy = 0.8609 eV per atom; space group = No. 221
1.0
4.864 0.000 0.000
0.000 4.864 0.000
0.000 0.000 4.864
Pb Si Ge
1 3 1
direct
0.500 0.500 0.500
0.500 0.000 0.000
0.000 0.000 0.500
0.000 0.500 0.000
0.000 0.000 0.000

=====

# 14
SrIF6, relaxed, DFT PBE; uncorrected formation energy = -2.2360 eV per atom; space group = No. 12
1.0
-1.237 -2.190 -4.128
3.424 -2.877 1.835
-4.210 -2.402 3.014
Sr F I
1 6 1
direct
0.000 0.000 0.000
0.174 0.501 0.209
0.501 0.174 0.209
0.499 0.826 0.791
0.795 0.795 0.363
0.205 0.205 0.637
0.826 0.499 0.791
0.500 0.500 0.500

=====

# 15
Sc2TaTe2, relaxed, DFT PBE; uncorrected formation energy = 0.4080 eV per atom; space group = No. 139
1.0
-0.292 -1.702 3.788
-3.733 -1.556 -0.986
1.273 -7.888 -1.159
Te Ta Sc
2 1 2
direct
0.250 0.750 0.500
0.750 0.250 0.500
0.000 0.000 0.000
0.402 0.402 0.196
0.598 0.598 0.804

=====

# 16
TbNd6Y2, relaxed, DFT PBE; formation energy from the elements = 2.0 eV/f.u.; space group = No. 12
1.0
6.284 -0.019 -0.011
0.047 7.594 0.021
0.047 3.801 6.574
Nd Tb Y
6 1 2
direct
0.293 0.376 0.812
0.708 0.189 0.189
0.293 0.812 0.376
0.292 0.811 0.811
0.707 0.624 0.188
0.707 0.188 0.624
0.000 0.000 0.000
0.209 0.334 0.334
0.791 0.666 0.666

=====

# 17
La2Tb3Nd2, relaxed, DFT PBE; formation energy from the elements = 0.1 eV/f.u.; space group = No. 2
1.0
9.632 -0.221 -0.022
-4.704 4.014 1.203
0.081 1.077 13.119
Tb Nd La
6 4 4
direct
0.500 0.000 0.000
0.498 0.143 0.715
0.999 0.711 0.070
0.000 0.000 0.500
0.001 0.289 0.930
0.501 0.857 0.285
0.002 0.148 0.213
0.501 0.288 0.429
0.998 0.852 0.787
0.499 0.712 0.571
0.998 0.426 0.644
0.501 0.430 0.141
0.002 0.574 0.356
0.499 0.570 0.859

=====

# 18
LaBePO, relaxed, DFT PBE; uncorrected formation energy = -1.9002 eV per atom; space group = No. 129
1.0
-1.923 3.295 0.821
-3.392 -1.905 -0.304
0.322 -1.926 8.487
Be P La O
2 2 2 2
direct
0.000 0.000 0.000
0.500 0.500 0.000
0.500 0.000 0.137
0.000 0.500 0.863
0.500 0.000 0.649
0.000 0.500 0.351
0.000 0.000 0.500
0.500 0.500 0.500

=====

# 19
Pr5Dy12Pu, relaxed, DFT PBE; formation energy from the elements = 2.1 eV/f.u.; space group = No. 12
1.0
11.407 0.000 0.006
5.703 8.688 0.003
0.043 0.000 5.966
Dy Pr Pu
12 5 1
direct
0.166 0.000 0.559
0.005 0.332 0.955
0.337 0.668 0.955
0.834 0.000 0.441
0.312 0.000 0.059
0.515 0.329 0.547
0.845 0.671 0.547
0.485 0.671 0.453
0.663 0.332 0.045
0.688 0.000 0.941
0.155 0.329 0.453
0.995 0.668 0.045
0.660 0.679 0.000
0.340 0.321 0.000
0.828 0.344 0.500
0.500 0.000 0.500
0.172 0.656 0.500
0.000 0.000 0.000

=====

# 20
BaSr2Nd, relaxed, DFT PBE; formation energy from the elements = 1.2 eV/f.u.; space group = No. 166
1.0
3.976 0.000 0.000
1.988 3.444 0.000
1.988 1.148 14.488
Sr Nd Ba
2 1 1
direct
0.916 0.916 0.251
0.084 0.084 0.749
0.000 0.000 0.000
0.500 0.500 0.500

=====

# 21
CsKV2Ga, relaxed, DFT PBE; formation energy from the elements = 9.6 eV/f.u.; space group = No. 123
1.0
5.785 0.000 0.000
0.000 6.200 0.000
0.000 0.000 5.785
Ga Cs K V
1 1 1 2
direct
0.000 0.500 0.000
0.000 0.000 0.000
0.500 0.500 0.500
0.500 0.000 0.000
0.000 0.000 0.500

=====

# 22
RbPr2Sm3Te6, relaxed, DFT PBE; uncorrected formation energy = -1.3723 eV per atom; space group = No. 12
1.0
4.485 0.000 0.000
0.000 9.304 0.273
-2.242 -2.741 9.604
Te Sm Rb Pr
6 3 1 2
direct
0.337 0.412 0.674
0.002 0.270 0.004
0.325 0.918 0.649
0.675 0.082 0.351
0.663 0.588 0.326
0.998 0.730 0.996
0.837 0.178 0.675
0.500 0.500 0.000
0.163 0.822 0.325
0.500 0.000 0.000
0.172 0.347 0.343
0.828 0.653 0.657

=====

# 23
In2PW, relaxed, DFT PBE; formation energy from the elements = 1.1 eV/f.u.; space group = No. 8
1.0
-3.471 -4.435 0.189
-0.630 -5.600 -0.019
-0.187 -1.326 4.871
W P In
1 1 2
direct
0.785 0.785 0.773
0.441 0.441 0.516
0.035 0.035 0.925
0.239 0.239 0.286

=====

# 24
In2FeCl, relaxed, DFT PBE; uncorrected formation energy = 0.0211 eV per atom; space group = No. 44
1.0
-0.746 4.549 -3.977
-0.516 -1.397 -5.903
-2.081 -0.228 5.717
Cl Fe In
1 1 2
direct
0.439 0.439 0.000
0.264 0.764 0.500
0.756 0.256 0.500
0.042 0.042 0.000

=====

Total magnetization
In order: 0.000, 0.000, 0.899, 1.751, 0.000, 3.583, 0.000, 0.000, 0.000, 0.000, 7.027, 0.002, 0.000, 1.001, 1.915, 0.903, 0.000, 0.000, 6.534, 0.721, 8.544, 0.000, 0.000, 2.839
Unit: μB per formula unit